# 1
DFT (PBE-GGA) results for a relaxed Al2TlAs2 crystal.

Properties
The calculated volume is 24.12 Å³ per atom. The energy relative to the elements comes out at -16.12 kJ per mole of atoms. For the density of states at the Fermi level, the calculation gives 4.68 states/eV/cell. The value obtained for the magnetization is 0.00 μB/f.u. For the energy above the lowest structure with this stoichiometry, the calculation gives 0.0 meV/atom.

abc: 4.1357 4.1357 14.1039
angles: 90.00 90.00 90.00
With the nearest neighbours (Å) after each atom.
Space group I4/mmm (No. 139)
Asymmetric unit:
Al 0.0000 0.5000 0.2500 [4 per cell]  4 As 2.58
Tl 0.0000 0.0000 0.0000 [2 per cell]  8 As 3.54
As 0.0000 0.0000 0.3592 [4 per cell]  4 Al 2.58


# 2
DFT (PBE-GGA) results for a relaxed Al3TlAs crystal.

Properties
The calculated volume is 24.96 Å³ per atom. The energy relative to the elements comes out at 47.17 kJ per mole of atoms. For the density of states at the Fermi level, the calculation gives 2.88 states/eV/cell. The value obtained for the magnetization is 0.00 μB/f.u. For the energy above the lowest structure with this stoichiometry, the calculation gives 0.0 meV/atom.

abc: 4.9976 4.9976 4.9976
angles: 90.00 90.00 90.00
With the nearest neighbours (Å) after each atom.
Space group Pm-3m (No. 221)
Asymmetric unit:
Al 0.0000 0.0000 0.5000 [3 per cell]  2 As 2.50
Tl 0.5000 0.5000 0.5000 [1 per cell]  12 Al 3.53
As 0.0000 0.0000 0.0000 [1 per cell]  6 Al 2.50


Copy entry 1 word for word.
DFT (PBE-GGA) results for a relaxed Al2TlAs2 crystal.

Properties
The calculated volume is 24.12 Å³ per atom. The energy relative to the elements comes out at -16.12 kJ per mole of atoms. For the density of states at the Fermi level, the calculation gives 4.68 states/eV/cell. The value obtained for the magnetization is 0.00 μB/f.u. For the energy above the lowest structure with this stoichiometry, the calculation gives 0.0 meV/atom.

abc: 4.1357 4.1357 14.1039
angles: 90.00 90.00 90.00
With the nearest neighbours (Å) after each atom.
Space group I4/mmm (No. 139)
Asymmetric unit:
Al 0.0000 0.5000 0.2500 [4 per cell]  4 As 2.58
Tl 0.0000 0.0000 0.0000 [2 per cell]  8 As 3.54
As 0.0000 0.0000 0.3592 [4 per cell]  4 Al 2.58


Among the records above, which one has the highest calculated volume?
Al3TlAs